# 1
Material: K2ZrFe
Method: DFT, PBE-GGA
State: relaxed

## Properties
Formation enthalpy at 0 K in eV/f.u.: 2.2
Calculated total energy in eV/cell: -16.99
Total magnetization in μB per formula unit: 1.24
Energy above the lowest structure with this stoichiometry in kJ per mole of atoms: 0.0

```
K2ZrFe
1.0
10.986 0.381 -0.115
10.383 3.609 -0.115
0.735 0.137 3.929
Zr K Fe
1 2 1
Direct
0.750 0.750 0.750
0.598 0.598 0.394
0.902 0.902 0.106
0.250 0.250 0.250
```



# 2
Material: TaH2S
Method: DFT, PBE-GGA
State: relaxed

## Properties
Calculated total energy in eV/cell: -20.11
Total magnetization in μB per formula unit: 0.00
Energy above the lowest structure with this stoichiometry in kJ per mole of atoms: 96.8

```
TaH2S
1.0
3.201 0.000 0.000
1.600 2.772 0.000
1.600 0.924 4.323
H S Ta
2 1 1
Direct
0.141 0.141 0.576
0.859 0.859 0.424
0.500 0.500 0.500
0.000 0.000 0.000
```



# 3
Material: Pr5Bi2Os
Method: DFT, PBE-GGA
State: relaxed

## Properties
Formation enthalpy at 0 K in eV/f.u.: -2.1
Calculated total energy in eV/cell: -89.92
Total magnetization in μB per formula unit: 0.00

```
Pr5Bi2Os
1.0
6.164 0.000 0.000
-3.082 5.173 0.000
0.000 0.000 16.441
Bi Pr Os
4 10 2
Direct
0.251 0.503 0.945
0.749 0.497 0.055
0.749 0.497 0.445
0.251 0.503 0.555
0.921 0.842 0.880
0.420 0.839 0.121
0.079 0.158 0.120
0.580 0.161 0.621
0.251 0.502 0.750
0.921 0.842 0.620
0.079 0.158 0.380
0.580 0.161 0.879
0.749 0.498 0.250
0.420 0.839 0.379
0.248 0.496 0.250
0.752 0.504 0.750
```



# 4
Material: Sr2AlIr2
Method: DFT, PBE-GGA
State: relaxed

## Properties
Formation enthalpy at 0 K in eV/f.u.: -1.6
Calculated total energy in eV/cell: -52.78
Total magnetization in μB per formula unit: 0.00

```
Sr2AlIr2
1.0
-3.006 4.814 3.713
-5.017 0.376 -4.549
-2.505 -3.473 2.476
Al Sr Ir
2 4 4
Direct
0.000 0.000 0.000
0.500 0.500 0.000
0.824 0.324 0.500
0.176 0.676 0.500
0.324 0.176 0.500
0.676 0.824 0.500
0.132 0.368 0.000
0.368 0.868 0.000
0.868 0.632 0.000
0.632 0.132 0.000
```



# 5
Material: Pd2PtPb
Method: DFT, PBE-GGA
State: relaxed

## Properties
Formation enthalpy at 0 K in eV/f.u.: -1.0
Calculated total energy in eV/cell: -21.10
Total magnetization in μB per formula unit: 0.00
Energy above the lowest structure with this stoichiometry in kJ per mole of atoms: 0.0

```
Pd2PtPb
1.0
4.096 0.000 0.000
0.000 4.122 0.000
0.000 0.000 4.122
Pd Pt Pb
2 1 1
Direct
0.000 0.000 0.500
0.000 0.500 0.000
0.500 0.000 0.000
0.500 0.500 0.500
```



# 6
Material: Ho2PuThS4
Method: DFT, PBE-GGA
State: relaxed

## Properties
Calculated total energy in eV/cell: -62.59
Total magnetization in μB per formula unit: 5.71
Uncorrected formation energy in meV per atom: -1896

```
Ho2PuThS4
1.0
3.903 0.000 0.000
0.000 6.785 0.122
0.000 -2.368 6.505
Ho S Pu Th
2 4 1 1
Direct
0.000 0.500 0.500
0.500 0.000 0.500
0.500 0.742 0.736
0.500 0.258 0.264
0.000 0.250 0.740
0.000 0.750 0.260
0.500 0.500 0.000
0.000 0.000 0.000
```



# 7
Material: CeNdSeN
Method: DFT, PBE-GGA
State: relaxed

## Properties
Calculated total energy in eV/cell: -56.11
Total magnetization in μB per formula unit: 0.40
Uncorrected formation energy in meV per atom: -1385

```
CeNdSeN
1.0
3.888 0.000 0.000
1.944 3.367 0.000
1.944 1.122 14.301
Se Nd Ce N
2 2 2 2
Direct
0.623 0.623 0.131
0.377 0.377 0.869
0.243 0.243 0.271
0.757 0.757 0.729
0.500 0.500 0.500
0.000 0.000 0.000
0.191 0.191 0.426
0.809 0.809 0.574
```



# 8
Material: SmPuBi
Method: DFT, PBE-GGA
State: relaxed

## Properties
Formation enthalpy at 0 K in eV/f.u.: 0.6
Calculated total energy in eV/cell: -22.34
Total magnetization in μB per formula unit: 6.81

```
SmPuBi
1.0
3.328 0.000 0.000
0.000 3.328 0.000
-1.664 -1.664 8.996
Bi Pu Sm
1 1 1
Direct
0.132 0.132 0.264
0.951 0.951 0.901
0.767 0.767 0.534
```



# 9
Material: Sm2HgS
Method: DFT, PBE-GGA
State: relaxed

## Properties
Calculated total energy in eV/cell: -18.74
Total magnetization in μB per formula unit: 0.00
Energy above the lowest structure with this stoichiometry in kJ per mole of atoms: 0.0
Uncorrected formation energy in meV per atom: -1217

```
Sm2HgS
1.0
-0.150 1.397 3.743
-3.393 1.576 1.412
-3.336 -5.862 4.191
Sm Hg S
2 1 1
Direct
0.738 0.738 0.787
0.262 0.262 0.213
0.500 0.500 0.500
0.000 0.000 0.000
```



# 10
Material: Sc2TlMo
Method: DFT, PBE-GGA
State: relaxed

## Properties
Formation enthalpy at 0 K in eV/f.u.: 0.6
Calculated total energy in eV/cell: -25.30
Total magnetization in μB per formula unit: 0.00
Energy above the lowest structure with this stoichiometry in kJ per mole of atoms: 19.6

```
Sc2TlMo
1.0
5.462 0.011 0.058
4.583 2.972 0.058
0.876 0.260 5.170
Tl Mo Sc
1 1 2
Direct
0.513 0.513 0.514
0.243 0.243 0.226
0.983 0.983 0.035
0.761 0.761 0.725
```



# 11
Material: Tm8Hg2Pd
Method: DFT, PBE-GGA
State: relaxed

## Properties
Formation enthalpy at 0 K in eV/f.u.: -3.5
Calculated total energy in eV/cell: -45.06
Total magnetization in μB per formula unit: 0.00

```
Tm8Hg2Pd
1.0
-1.583 2.224 -4.335
-0.361 -6.056 -2.975
-7.184 0.020 5.661
Pd Tm Hg
1 8 2
Direct
0.500 0.000 0.000
0.344 0.035 0.689
0.202 0.313 0.404
0.656 0.965 0.311
0.411 0.558 0.822
0.589 0.442 0.178
0.798 0.687 0.596
0.024 0.774 0.048
0.976 0.226 0.952
0.190 0.734 0.380
0.810 0.266 0.620
```



# 12
Material: Er5Ag2Sn
Method: DFT, PBE-GGA
State: relaxed

## Properties
Formation enthalpy at 0 K in eV/f.u.: -2.9
Calculated total energy in eV/cell: -70.86
Total magnetization in μB per formula unit: 0.00

```
Er5Ag2Sn
1.0
7.938 0.000 0.000
0.000 7.938 0.000
-3.969 -3.969 6.671
Ag Er Sn
4 10 2
Direct
0.133 0.367 0.000
0.633 0.133 0.000
0.367 0.867 0.000
0.867 0.633 0.000
0.805 0.994 0.300
0.195 0.006 0.700
0.305 0.805 0.300
0.000 0.000 0.000
0.500 0.500 0.000
0.506 0.695 0.700
0.006 0.506 0.700
0.494 0.305 0.300
0.994 0.494 0.300
0.695 0.195 0.700
0.250 0.250 0.500
0.750 0.750 0.500
```